# Sr2TaW

A geometry-optimized Sr2TaW structure (GGA-PBE, the Alexandria database).

Cell: 9.8229 9.8229 4.1893 Å, 77.67 77.67 19.42°
Fractional coordinates of all 4 atoms:
Sr 0.0964 0.0964 0.9046
Ta 0.2500 0.2500 0.2500
Sr 0.4036 0.4036 0.5954
W 0.7500 0.7500 0.7500

Electronic total energy (eV for the cell shown): -24.939
Crystal system: orthorhombic
Polymorph energy (0 for the lowest one) (meV/atom): 253